{
  "formula": "Co2BiO4",
  "functional": "GGA+U",
  "state": "relaxed",
  "lattice_angstrom": [[-5.8292, 2.1389, -0.9119], [4.0498, -0.3214, -4.7835], [-2.3943, -5.2387, 2.4919]],
  "species": ["Bi", "Bi", "O", "O", "O", "O", "O", "O", "O", "O", "Co", "Co", "Co", "Co"],
  "fractional_positions": [[0.0000, 0.0000, 0.0000], [0.7500, 0.5000, 0.2500], [0.1398, 0.7192, 0.8590], [0.6102, 0.7808, 0.3910], [0.5794, 0.7192, 0.8602], [0.1410, 0.2808, 0.8602], [0.1706, 0.7808, 0.3898], [0.6102, 0.2192, 0.8294], [0.6090, 0.2192, 0.3898], [0.1398, 0.2808, 0.4206], [0.8750, 0.2500, 0.6250], [0.3750, 0.7500, 0.6250], [0.3750, 0.7500, 0.1250], [0.3750, 0.2500, 0.6250]],
  "crystal_system": "tetragonal",
  "magnetic_moment_mub_per_atom": 0.7945,
  "space_group": "I4_1/amd",
  "final_energy_ev_per_fu": -41.08
}



{
  "formula": "CoBiPO5",
  "functional": "GGA+U",
  "state": "relaxed",
  "lattice_angstrom": [[-2.6487, -1.7695, -4.1071], [-8.8107, -2.2454, 6.6495], [-0.9397, 7.3562, 1.2389]],
  "species": ["Co", "Co", "Co", "Co", "P", "P", "P", "P", "O", "O", "O", "O", "O", "O", "O", "O", "O", "O", "O", "O", "O", "O", "O", "O", "O", "O", "O", "O", "Bi", "Bi", "Bi", "Bi"],
  "fractional_positions": [[0.9406, 0.5833, 0.8165], [0.0594, 0.4167, 0.1835], [0.9406, 0.9167, 0.3165], [0.0594, 0.0833, 0.6835], [0.6940, 0.3483, 0.4783], [0.6940, 0.1517, 0.9783], [0.3060, 0.6517, 0.5217], [0.3060, 0.8483, 0.0217], [0.2140, 0.9188, 0.1630], [0.1726, 0.7230, 0.9884], [0.3711, 0.1745, 0.8924], [0.2140, 0.5812, 0.6630], [0.2614, 0.4755, 0.0166], [0.7785, 0.4180, 0.6704], [0.8273, 0.2770, 0.0116], [0.6289, 0.6745, 0.6076], [0.2614, 0.0245, 0.5166], [0.7785, 0.0820, 0.1704], [0.3711, 0.3255, 0.3924], [0.7386, 0.9755, 0.4834], [0.2215, 0.5820, 0.3296], [0.1727, 0.7770, 0.4884], [0.7386, 0.5245, 0.9834], [0.7860, 0.0812, 0.8370], [0.2215, 0.9180, 0.8296], [0.6289, 0.8255, 0.1076], [0.7860, 0.4188, 0.3370], [0.8273, 0.2230, 0.5116], [0.5798, 0.8982, 0.6921], [0.4202, 0.3982, 0.8079], [0.5798, 0.6018, 0.1921], [0.4202, 0.1018, 0.3079]],
  "crystal_system": "monoclinic",
  "magnetic_moment_mub_per_atom": 0.3750,
  "space_group": "P2_1/c",
  "final_energy_ev_per_fu": -53.02
}



{
  "formula": "CoBi2PbO6",
  "functional": "GGA+U",
  "state": "relaxed",
  "lattice_angstrom": [[5.5658, 0.0000, 0.0000], [0.0000, 5.9944, 0.0000], [-5.5626, 0.0000, 7.9966]],
  "species": ["Bi", "Bi", "Bi", "Bi", "O", "O", "O", "O", "O", "O", "O", "O", "O", "O", "O", "O", "Pb", "Pb", "Co", "Co"],
  "fractional_positions": [[0.2399, 0.9484, 0.7520], [0.2399, 0.5516, 0.2520], [0.7601, 0.0516, 0.2480], [0.7601, 0.4484, 0.7480], [0.1118, 0.8112, 0.4460], [0.3680, 0.9558, 0.2403], [0.8882, 0.3112, 0.0540], [0.2686, 0.1815, 0.9462], [0.6320, 0.0442, 0.7597], [0.2686, 0.3185, 0.4462], [0.3680, 0.5442, 0.7403], [0.8882, 0.1888, 0.5540], [0.6320, 0.4558, 0.2597], [0.7314, 0.6815, 0.5538], [0.7314, 0.8185, 0.0538], [0.1118, 0.6888, 0.9460], [0.5000, 0.5000, 0.0000], [0.5000, 0.0000, 0.5000], [0.0000, 0.5000, 0.5000], [0.0000, 0.0000, 0.0000]],
  "crystal_system": "monoclinic",
  "de_polymorph_kj_per_mol_fu": 0,
  "magnetic_moment_mub_per_atom": 0.3000,
  "space_group": "P2_1/c"
}



{
  "formula": "CoBi2PbO6",
  "functional": "GGA+U",
  "state": "relaxed",
  "lattice_angstrom": [[4.9098, -2.8871, 0.0000], [4.9098, 2.8871, 0.0000], [-3.1838, 0.0000, 9.6920]],
  "species": ["O", "O", "O", "O", "O", "O", "O", "O", "O", "O", "O", "O", "Bi", "Bi", "Bi", "Bi", "Co", "Co", "Pb", "Pb"],
  "fractional_positions": [[0.9961, 0.8530, 0.1682], [0.1470, 0.0039, 0.8318], [0.1262, 0.5693, 0.9262], [0.3403, 0.5107, 0.6688], [0.5156, 0.1604, 0.3712], [0.3619, 0.9442, 0.5736], [0.8396, 0.4844, 0.6288], [0.6482, 0.0280, 0.8702], [0.4893, 0.6597, 0.3312], [0.0558, 0.6381, 0.4264], [0.9720, 0.3518, 0.1298], [0.4307, 0.8738, 0.0738], [0.3229, 0.4102, 0.1234], [0.8962, 0.8369, 0.6236], [0.5898, 0.6771, 0.8766], [0.1631, 0.1038, 0.3764], [0.0104, 0.9896, 0.0000], [0.4761, 0.5239, 0.5000], [0.2436, 0.2567, 0.7499], [0.7433, 0.7564, 0.2501]],
  "crystal_system": "monoclinic",
  "de_polymorph_kj_per_mol_fu": 11,
  "magnetic_moment_mub_per_atom": 0.3000,
  "space_group": "C2"
}



{
  "formula": "CoBi2PtO6",
  "functional": "GGA+U",
  "state": "relaxed",
  "lattice_angstrom": [[5.4346, 0.0000, 0.0000], [0.0000, 5.8389, 0.0000], [-5.3489, 0.0000, 7.7695]],
  "species": ["O", "O", "O", "O", "O", "O", "O", "O", "O", "O", "O", "O", "Bi", "Bi", "Bi", "Bi", "Co", "Co", "Pt", "Pt"],
  "fractional_positions": [[0.7185, 0.1830, 0.5384], [0.6414, 0.9644, 0.2516], [0.7185, 0.3170, 0.0384], [0.8696, 0.8013, 0.0512], [0.6414, 0.5356, 0.7516], [0.1304, 0.1987, 0.9488], [0.2815, 0.8170, 0.4616], [0.1304, 0.3013, 0.4488], [0.3586, 0.0356, 0.7484], [0.8696, 0.6987, 0.5512], [0.3586, 0.4644, 0.2484], [0.2815, 0.6830, 0.9616], [0.2396, 0.0607, 0.2526], [0.2396, 0.4393, 0.7526], [0.7604, 0.9393, 0.7474], [0.7604, 0.5607, 0.2474], [0.5000, 0.0000, 0.0000], [0.5000, 0.5000, 0.5000], [0.0000, 0.0000, 0.5000], [0.0000, 0.5000, 0.0000]],
  "crystal_system": "monoclinic",
  "magnetic_moment_mub_per_atom": 0.3000,
  "space_group": "P2_1/c",
  "final_energy_ev_per_fu": -58.54
}



{
  "formula": "CoBi6S2O16",
  "functional": "GGA+U",
  "state": "relaxed",
  "lattice_angstrom": [[7.5701, -2.7653, 0.0000], [7.5701, 2.7653, 0.0000], [-7.3188, 0.0000, 8.4155]],
  "species": ["O", "O", "O", "O", "O", "O", "O", "O", "O", "O", "O", "O", "O", "O", "O", "O", "S", "S", "Co", "Bi", "Bi", "Bi", "Bi", "Bi", "Bi"],
  "fractional_positions": [[0.9522, 0.5939, 0.4397], [0.3261, 0.4078, 0.8086], [0.3881, 0.6119, 0.5000], [0.0589, 0.2823, 0.8189], [0.7063, 0.4295, 0.3212], [0.1051, 0.7090, 0.0525], [0.4061, 0.0478, 0.5603], [0.5922, 0.6739, 0.1914], [0.7177, 0.9411, 0.1811], [0.2910, 0.8949, 0.9475], [0.5623, 0.7784, 0.8158], [0.7764, 0.9821, 0.8002], [0.2216, 0.4377, 0.1842], [0.5705, 0.2937, 0.6788], [0.0179, 0.2236, 0.1998], [0.8745, 0.1255, 0.5000], [0.5160, 0.1833, 0.7090], [0.8167, 0.4840, 0.2910], [0.1108, 0.8892, 0.0000], [0.4765, 0.2067, 0.3530], [0.7933, 0.5235, 0.6470], [0.1528, 0.8805, 0.6899], [0.1195, 0.8472, 0.3101], [0.7251, 0.5990, 0.9910], [0.4010, 0.2749, 0.0090]],
  "crystal_system": "monoclinic",
  "magnetic_moment_mub_per_atom": 0.1200,
  "space_group": "C2",
  "final_energy_ev_per_fu": -150.01
}